Record 1
## MgScCu2 (GGA-PBE)

Data for a relaxed MgScCu2 crystal.

Magnetic moment: 0.00 Bohr magnetons per cell
ρ: 4.85 g cm⁻³
ΔH_f (0 K): -0.085 eV/atom

The structure in CIF format:
```
data_MgScCu2
_chemical_formula_sum 'Mg1 Sc1 Cu2'
_space_group_name_H-M_alt 'P 1'
_space_group_IT_number 1
_space_group_name_Hall 'P 1'
_cell_length_a 5.404
_cell_length_b 5.404
_cell_length_c 5.404
_cell_angle_alpha 145.84
_cell_angle_beta 129.99
_cell_angle_gamma 61.95
loop_
_atom_site_label
_atom_site_type_symbol
_atom_site_fract_x
_atom_site_fract_y
_atom_site_fract_z
_atom_site_occupancy
Cu1 Cu 0.771 0.271 0.500 1
Cu2 Cu 0.977 0.977 0.000 1
Sc1 Sc 0.233 0.733 0.500 1
Mg1 Mg 0.519 0.519 0.000 1
```


Record 2
## CsTiPdBr6 (GGA-PBE)

Data for a relaxed CsTiPdBr6 crystal.

Formation energy without anion corrections: -9.2 eV/f.u.
Magnetic moment: 1.06 Bohr magnetons per cell
ρ: 3.84 g cm⁻³

The structure in CIF format:
```
data_CsTiPdBr6
_chemical_formula_sum 'Cs1 Ti1 Pd1 Br6'
_space_group_name_H-M_alt 'P 1'
_space_group_IT_number 1
_space_group_name_Hall 'P 1'
_cell_length_a 6.805
_cell_length_b 7.828
_cell_length_c 7.750
_cell_angle_alpha 100.86
_cell_angle_beta 96.30
_cell_angle_gamma 54.89
loop_
_atom_site_label
_atom_site_type_symbol
_atom_site_fract_x
_atom_site_fract_y
_atom_site_fract_z
_atom_site_occupancy
Br1 Br 0.312 0.624 0.368 1
Br2 Br 0.313 0.064 0.632 1
Br3 Br 0.615 0.328 0.732 1
Br4 Br 0.614 0.058 0.268 1
Br5 Br 0.973 0.389 0.295 1
Br6 Br 0.974 0.638 0.705 1
Ti1 Ti 0.341 0.330 0.500 1
Cs1 Cs 0.226 0.887 0.000 1
Pd1 Pd 0.632 0.684 0.500 1
```


Record 3
## Zr2Si4Ni (GGA-PBE)

Data for a relaxed Zr2Si4Ni crystal.

Formation energy without anion corrections: -0.1 eV/f.u.
Magnetic moment: 0.00 Bohr magnetons per cell
ρ: 4.56 g cm⁻³

The structure in CIF format:
```
data_Zr2Si4Ni
_chemical_formula_sum 'Zr2 Si4 Ni1'
_space_group_name_H-M_alt 'P 1'
_space_group_IT_number 1
_space_group_name_Hall 'P 1'
_cell_length_a 4.427
_cell_length_b 4.427
_cell_length_c 7.272
_cell_angle_alpha 72.28
_cell_angle_beta 72.28
_cell_angle_gamma 90.00
loop_
_atom_site_label
_atom_site_type_symbol
_atom_site_fract_x
_atom_site_fract_y
_atom_site_fract_z
_atom_site_occupancy
Ni1 Ni 0.000 0.000 0.000 1
Si1 Si 0.829 0.829 0.342 1
Si2 Si 0.500 0.000 0.000 1
Si3 Si 0.171 0.171 0.658 1
Si4 Si 0.000 0.500 0.000 1
Zr1 Zr 0.374 0.374 0.252 1
Zr2 Zr 0.626 0.626 0.748 1
```


Record 4
## Sc2Cu2Pb (GGA-PBE)

Data for a relaxed Sc2Cu2Pb crystal.

Magnetic moment: 0.63 Bohr magnetons per cell
ρ: 6.96 g cm⁻³
ΔH_f (0 K): -0.100 eV/atom

The structure in CIF format:
```
data_Sc2Cu2Pb
_chemical_formula_sum 'Sc2 Cu2 Pb1'
_space_group_name_H-M_alt 'P 1'
_space_group_IT_number 1
_space_group_name_Hall 'P 1'
_cell_length_a 3.411
_cell_length_b 3.411
_cell_length_c 9.022
_cell_angle_alpha 79.10
_cell_angle_beta 79.10
_cell_angle_gamma 90.00
loop_
_atom_site_label
_atom_site_type_symbol
_atom_site_fract_x
_atom_site_fract_y
_atom_site_fract_z
_atom_site_occupancy
Sc1 Sc 0.378 0.378 0.243 1
Sc2 Sc 0.622 0.622 0.757 1
Cu1 Cu 0.250 0.750 0.500 1
Cu2 Cu 0.750 0.250 0.500 1
Pb1 Pb 0.000 0.000 0.000 1
```


Record 5
## AcAg2PO6 (GGA-PBE)

Data for a relaxed AcAg2PO6 crystal.

Formation energy without anion corrections: -14.5 eV/f.u.
Magnetic moment: 0.00 Bohr magnetons per cell
ρ: 6.91 g cm⁻³

The structure in CIF format:
```
data_AcAg2PO6
_chemical_formula_sum 'Ac1 Ag2 P1 O6'
_space_group_name_H-M_alt 'P 1'
_space_group_IT_number 1
_space_group_name_Hall 'P 1'
_cell_length_a 5.555
_cell_length_b 5.457
_cell_length_c 6.347
_cell_angle_alpha 61.59
_cell_angle_beta 61.90
_cell_angle_gamma 57.75
loop_
_atom_site_label
_atom_site_type_symbol
_atom_site_fract_x
_atom_site_fract_y
_atom_site_fract_z
_atom_site_occupancy
O1 O 0.090 0.402 0.869 1
O2 O 0.607 0.101 0.855 1
O3 O 0.037 0.549 0.216 1
O4 O 0.211 0.039 0.268 1
O5 O 0.398 0.634 0.820 1
O6 O 0.579 0.213 0.196 1
P1 P 0.320 0.316 0.032 1
Ag1 Ag 0.024 0.992 0.971 1
Ag2 Ag 0.579 0.602 0.220 1
Ac1 Ac 0.817 0.814 0.568 1
```


Record 6
## RbBeSb3 (GGA-PBE)

Data for a relaxed RbBeSb3 crystal.

Formation energy without anion corrections: 9.7 eV/f.u.
Magnetic moment: 0.00 Bohr magnetons per cell
ρ: 3.42 g cm⁻³
Distance to the lowest polymorph of the same formula: 8.528 eV per formula unit

The structure in CIF format:
```
data_RbBeSb3
_chemical_formula_sum 'Rb1 Be1 Sb3'
_space_group_name_H-M_alt 'P 1'
_space_group_IT_number 1
_space_group_name_Hall 'P 1'
_cell_length_a 6.064
_cell_length_b 6.064
_cell_length_c 6.064
_cell_angle_alpha 90.00
_cell_angle_beta 90.00
_cell_angle_gamma 90.00
loop_
_atom_site_label
_atom_site_type_symbol
_atom_site_fract_x
_atom_site_fract_y
_atom_site_fract_z
_atom_site_occupancy
Sb1 Sb 0.000 0.000 0.500 1
Sb2 Sb 0.500 0.000 0.000 1
Sb3 Sb 0.000 0.500 0.000 1
Be1 Be 0.500 0.500 0.500 1
Rb1 Rb 0.000 0.000 0.000 1
```


Record 7
## Pu5Zn2Pt5 (GGA-PBE)

Data for a relaxed Pu5Zn2Pt5 crystal.

Magnetic moment: 5.42 Bohr magnetons per cell
ρ: 17.25 g cm⁻³
ΔH_f (0 K): -0.293 eV/atom

The structure in CIF format:
```
data_Pu5Zn2Pt5
_chemical_formula_sum 'Pu5 Zn2 Pt5'
_space_group_name_H-M_alt 'P 1'
_space_group_IT_number 1
_space_group_name_Hall 'P 1'
_cell_length_a 7.216
_cell_length_b 7.216
_cell_length_c 8.571
_cell_angle_alpha 54.61
_cell_angle_beta 54.61
_cell_angle_gamma 39.54
loop_
_atom_site_label
_atom_site_type_symbol
_atom_site_fract_x
_atom_site_fract_y
_atom_site_fract_z
_atom_site_occupancy
Zn1 Zn 0.856 0.856 0.765 1
Zn2 Zn 0.144 0.144 0.235 1
Pt1 Pt 0.751 0.751 0.159 1
Pt2 Pt 0.904 0.904 0.401 1
Pt3 Pt 0.096 0.096 0.599 1
Pt4 Pt 0.000 0.000 0.000 1
Pt5 Pt 0.249 0.249 0.841 1
Pu1 Pu 0.576 0.576 0.074 1
Pu2 Pu 0.355 0.355 0.261 1
Pu3 Pu 0.424 0.424 0.926 1
Pu4 Pu 0.645 0.645 0.739 1
Pu5 Pu 0.500 0.500 0.500 1
```


Record 8
## Dy5Hg2Ru (GGA-PBE)

Data for a relaxed Dy5Hg2Ru crystal.

Magnetic moment: 0.00 Bohr magnetons per cell
ρ: 10.35 g cm⁻³
ΔH_f (0 K): -0.397 eV/atom

The structure in CIF format:
```
data_Dy5Hg2Ru
_chemical_formula_sum 'Dy10 Hg4 Ru2'
_space_group_name_H-M_alt 'P 1'
_space_group_IT_number 1
_space_group_name_Hall 'P 1'
_cell_length_a 4.849
_cell_length_b 7.288
_cell_length_c 11.943
_cell_angle_alpha 90.00
_cell_angle_beta 90.00
_cell_angle_gamma 90.00
loop_
_atom_site_label
_atom_site_type_symbol
_atom_site_fract_x
_atom_site_fract_y
_atom_site_fract_z
_atom_site_occupancy
Hg1 Hg 0.500 0.420 0.838 1
Hg2 Hg 0.500 0.580 0.162 1
Hg3 Hg 0.500 0.080 0.338 1
Hg4 Hg 0.500 0.920 0.662 1
Dy1 Dy 0.000 0.500 0.000 1
Dy2 Dy 0.500 0.823 0.918 1
Dy3 Dy 0.000 0.358 0.295 1
Dy4 Dy 0.000 0.858 0.205 1
Dy5 Dy 0.000 0.000 0.500 1
Dy6 Dy 0.500 0.677 0.418 1
Dy7 Dy 0.000 0.642 0.705 1
Dy8 Dy 0.000 0.142 0.795 1
Dy9 Dy 0.500 0.177 0.082 1
Dy10 Dy 0.500 0.323 0.582 1
Ru1 Ru 0.000 0.500 0.500 1
Ru2 Ru 0.000 0.000 0.000 1
```


Record 9
## Rb2LiCF6 (GGA-PBE)

Data for a relaxed Rb2LiCF6 crystal.

Formation energy without anion corrections: -17.3 eV/f.u.
Magnetic moment: 0.99 Bohr magnetons per cell
ρ: 3.76 g cm⁻³

The structure in CIF format:
```
data_Rb2LiCF6
_chemical_formula_sum 'Rb2 Li1 C1 F6'
_space_group_name_H-M_alt 'P 1'
_space_group_IT_number 1
_space_group_name_Hall 'P 1'
_cell_length_a 5.741
_cell_length_b 5.741
_cell_length_c 5.749
_cell_angle_alpha 60.04
_cell_angle_beta 60.04
_cell_angle_gamma 90.00
loop_
_atom_site_label
_atom_site_type_symbol
_atom_site_fract_x
_atom_site_fract_y
_atom_site_fract_z
_atom_site_occupancy
F1 F 0.222 0.778 0.000 1
F2 F 0.778 0.778 0.000 1
F3 F 0.222 0.222 0.000 1
F4 F 0.779 0.779 0.442 1
F5 F 0.221 0.221 0.558 1
F6 F 0.778 0.222 0.000 1
Rb1 Rb 0.250 0.750 0.500 1
Rb2 Rb 0.750 0.250 0.500 1
C1 C 0.000 0.000 0.000 1
Li1 Li 0.500 0.500 0.000 1
```


Record 10
## Ce3InHg5 (GGA-PBE)

Data for a relaxed Ce3InHg5 crystal.

Magnetic moment: 5.47 Bohr magnetons per cell
ρ: 10.67 g cm⁻³
Distance to the lowest polymorph of the same formula: 0.000 eV per formula unit
ΔH_f (0 K): -0.346 eV/atom

The structure in CIF format:
```
data_Ce3InHg5
_chemical_formula_sum 'Ce6 In2 Hg10'
_space_group_name_H-M_alt 'P 1'
_space_group_IT_number 1
_space_group_name_Hall 'P 1'
_cell_length_a 6.564
_cell_length_b 9.179
_cell_length_c 9.179
_cell_angle_alpha 120.00
_cell_angle_beta 90.00
_cell_angle_gamma 90.00
loop_
_atom_site_label
_atom_site_type_symbol
_atom_site_fract_x
_atom_site_fract_y
_atom_site_fract_z
_atom_site_occupancy
Ce1 Ce 0.250 0.338 0.000 1
Ce2 Ce 0.250 0.662 0.662 1
Ce3 Ce 0.750 0.662 0.000 1
Ce4 Ce 0.750 0.000 0.662 1
Ce5 Ce 0.250 0.000 0.338 1
Ce6 Ce 0.750 0.338 0.338 1
Hg1 Hg 0.250 0.000 0.672 1
Hg2 Hg 0.000 0.667 0.333 1
Hg3 Hg 0.250 0.328 0.328 1
Hg4 Hg 0.000 0.333 0.667 1
Hg5 Hg 0.750 0.672 0.672 1
Hg6 Hg 0.750 0.000 0.328 1
Hg7 Hg 0.750 0.328 0.000 1
Hg8 Hg 0.250 0.672 0.000 1
Hg9 Hg 0.500 0.667 0.333 1
Hg10 Hg 0.500 0.333 0.667 1
In1 In 0.000 0.000 0.000 1
In2 In 0.500 0.000 0.000 1
```


Record 11
## TlRu2Se (GGA-PBE)

Data for a relaxed TlRu2Se crystal.

Formation energy without anion corrections: 3.0 eV/f.u.
Magnetic moment: 0.00 Bohr magnetons per cell
ρ: 11.32 g cm⁻³
Distance to the lowest polymorph of the same formula: 1.904 eV per formula unit

The structure in CIF format:
```
data_TlRu2Se
_chemical_formula_sum 'Tl1 Ru2 Se1'
_space_group_name_H-M_alt 'P 1'
_space_group_IT_number 1
_space_group_name_Hall 'P 1'
_cell_length_a 5.350
_cell_length_b 5.360
_cell_length_c 3.038
_cell_angle_alpha 73.30
_cell_angle_beta 90.45
_cell_angle_gamma 120.09
loop_
_atom_site_label
_atom_site_type_symbol
_atom_site_fract_x
_atom_site_fract_y
_atom_site_fract_z
_atom_site_occupancy
Se1 Se 0.000 0.500 0.500 1
Ru1 Ru 0.000 0.000 0.000 1
Ru2 Ru 0.500 0.000 0.500 1
Tl1 Tl 0.500 0.500 0.000 1
```


Record 12
## Mn5Cd (GGA-PBE)

Data for a relaxed Mn5Cd crystal.

Magnetic moment: 3.64 Bohr magnetons per cell
ρ: 8.34 g cm⁻³
Distance to the lowest polymorph of the same formula: 0.051 eV per formula unit
ΔH_f (0 K): 0.303 eV/atom

The structure in CIF format:
```
data_Mn5Cd
_chemical_formula_sum 'Mn5 Cd1'
_space_group_name_H-M_alt 'P 1'
_space_group_IT_number 1
_space_group_name_Hall 'P 1'
_cell_length_a 5.310
_cell_length_b 5.310
_cell_length_c 5.626
_cell_angle_alpha 75.43
_cell_angle_beta 75.43
_cell_angle_gamma 30.22
loop_
_atom_site_label
_atom_site_type_symbol
_atom_site_fract_x
_atom_site_fract_y
_atom_site_fract_z
_atom_site_occupancy
Mn1 Mn 0.000 0.000 0.500 1
Mn2 Mn 0.309 0.309 0.836 1
Mn3 Mn 0.683 0.683 0.639 1
Mn4 Mn 0.317 0.317 0.361 1
Mn5 Mn 0.691 0.691 0.164 1
Cd1 Cd 0.000 0.000 0.000 1
```


magnetic moment of number 12 (Mn5Cd)? 3.64 Bohr magnetons per cell


What is the formula in the seventh record? Pu5Zn2Pt5


Which of these has the highest ρ? Pu5Zn2Pt5